DFT (PBE) results for ZnNiAg4 after structural relaxation.

Lattice parameters (Å, degrees): 5.3754 5.3754 5.3754 60.00 60.00 60.00
Last column: nearest neighbours and their distance in Å.
Element x y z (fractional)
1 Ag 0.6249 0.6249 0.6249  6 Ag 2.68-2.69
2 Ag 0.6249 0.1254 0.6249  6 Ag 2.68-2.69
3 Ag 0.1254 0.6249 0.6249  6 Ag 2.68-2.69
4 Ag 0.6249 0.6249 0.1254  6 Ag 2.68-2.69
5 Ni 0.2500 0.2500 0.2500  12 Ag 3.15, 4 Zn 3.29
6 Zn 0.0000 0.0000 0.0000  12 Ag 3.15, 4 Ni 3.29

Calculated values
Total magnetization = 0.000 μB/atom
E = -2.65 eV/atom
Space-group type = F-43m, No. 216
Formation energy = 0.4268 eV per atom

---

DFT (PBE) results for Fe2AsIr after structural relaxation.

Lattice parameters (Å, degrees): 8.0030 8.0030 8.0030 20.51 20.51 20.51
Last column: nearest neighbours and their distance in Å.
Element x y z (fractional)
1 Ir 0.5007 0.5007 0.5007  3 Fe 2.62, 3 As 2.64, 6 Ir 2.85
2 Fe 0.2541 0.2541 0.2541  3 Fe 2.47, 3 Ir 2.62
3 Fe 0.9992 0.9992 0.9992  3 Fe 2.47, 3 As 2.50
4 As 0.7459 0.7459 0.7459  3 Fe 2.50, 3 Ir 2.64

Calculated values
Total magnetization = 1.251 μB/atom
E = -7.46 eV/atom
Space-group type = R3m, No. 160
Formation energy = 0.1474 eV per atom

---

DFT (PBE) results for SrI3O after structural relaxation.

Lattice parameters (Å, degrees): 6.4410 6.4410 6.4410 90.00 90.00 90.00
Last column: nearest neighbours and their distance in Å.
Element x y z (fractional)
1 I 0.0000 0.5000 0.0000  2 Sr 3.22
2 I 0.0000 0.0000 0.5000  2 Sr 3.22
3 I 0.5000 0.0000 0.0000  2 Sr 3.22
4 Sr 0.0000 0.0000 0.0000  6 I 3.22
5 O 0.5000 0.5000 0.5000  12 I 4.55

Calculated values
Total magnetization = 0.600 μB/atom
E = -2.40 eV/atom
Space-group type = Pm-3m, No. 221
Formation energy from raw total energies = -0.146 eV per atom

---

DFT (PBE) results for Cs2CdAs after structural relaxation.

Lattice parameters (Å, degrees): 7.2855 6.3312 7.2828 90.00 104.37 90.00
Last column: nearest neighbours and their distance in Å.
Element x y z (fractional)
1 Cd 0.5000 0.5000 0.0000  2 As 2.71
2 Cd 0.5000 0.0000 0.0000  2 As 2.71
3 Cs 0.9730 0.2500 0.8130  4 As 3.85-4.05, 5 Cs 3.91-4.13, 4 Cd 4.06-4.31
4 Cs 0.0270 0.7500 0.1870  4 As 3.85-4.05, 5 Cs 3.91-4.13, 4 Cd 4.06-4.31
5 Cs 0.3127 0.2500 0.4733  4 As 3.85-4.05, 5 Cs 3.91-4.13, 4 Cd 4.06-4.31
6 Cs 0.6873 0.7500 0.5267  4 As 3.85-4.05, 5 Cs 3.91-4.13, 4 Cd 4.06-4.31
7 As 0.7457 0.2500 0.2458  2 Cd 2.71
8 As 0.2543 0.7500 0.7542  2 Cd 2.71

Calculated values
Total magnetization = 0.000 μB/atom
E = -2.05 eV/atom
Space-group type = Cmcm, No. 63
Formation energy = -0.2324 eV per atom

---

DFT (PBE) results for Ca2Ni3Sn5 after structural relaxation.

Lattice parameters (Å, degrees): 4.3908 7.2121 13.3036 90.00 99.50 90.00
Last column: nearest neighbours and their distance in Å.
Element x y z (fractional)
1 Sn 0.7040 0.4379 0.4079  4 Ni 2.59-2.85
2 Sn 0.4061 0.3753 0.8121  3 Ni 2.56-2.65
3 Sn 0.8797 0.7520 0.7594  4 Ni 2.68-2.91
4 Sn 0.1203 0.2520 0.2406  4 Ni 2.68-2.91
5 Sn 0.0482 0.5872 0.0965  4 Ni 2.73-2.75
6 Sn 0.7111 0.0178 0.4223  3 Ni 2.68-2.73
7 Sn 0.2889 0.5178 0.5777  3 Ni 2.68-2.73
8 Sn 0.5939 0.8753 0.1879  3 Ni 2.56-2.65
9 Sn 0.9518 0.0872 0.9035  4 Ni 2.73-2.75
10 Sn 0.2960 0.9379 0.5921  4 Ni 2.59-2.85
11 Ca 0.4750 0.7535 0.9499  3 Ni 2.85-3.08, 2 Sn 3.16
12 Ca 0.5250 0.2535 0.0501  3 Ni 2.85-3.08, 2 Sn 3.16
13 Ca 0.1720 0.7341 0.3441  8 Sn 3.17-3.44, 4 Ni 3.21-3.54
14 Ca 0.8280 0.2341 0.6559  8 Sn 3.17-3.44, 4 Ni 3.21-3.54
15 Ni 0.3927 0.0117 0.7855  4 Sn 2.59-2.74, 1 Ca 2.85
16 Ni 0.2223 0.2273 0.4445  7 Sn 2.68-2.85
17 Ni 0.0505 0.9681 0.1010  5 Sn 2.56-2.75
18 Ni 0.6073 0.5117 0.2145  4 Sn 2.59-2.74, 1 Ca 2.85
19 Ni 0.9495 0.4681 0.8990  5 Sn 2.56-2.75
20 Ni 0.7777 0.7273 0.5555  7 Sn 2.68-2.85

Calculated values
Total magnetization = 0.000 μB/atom
E = -4.55 eV/atom
Space-group type = Cmc2_1, No. 36
Formation energy = -0.4179 eV per atom

---

DFT (PBE) results for LiZnRh2 after structural relaxation.

Lattice parameters (Å, degrees): 5.0689 5.0689 5.0689 146.62 130.50 61.02
Last column: nearest neighbours and their distance in Å.
Element x y z (fractional)
1 Li 0.2508 0.7508 0.5000  6 Rh 2.57-2.63, 2 Zn 2.61
2 Rh 0.0000 0.0000 0.0000  4 Zn 2.57, 2 Rh 2.62, 2 Li 2.63
3 Rh 0.7508 0.2508 0.5000  4 Li 2.57, 2 Rh 2.62, 2 Zn 2.64
4 Zn 0.4985 0.4985 0.0000  6 Rh 2.57-2.64, 2 Li 2.61

Calculated values
Total magnetization = 0.000 μB/atom
E = -4.68 eV/atom
Space-group type = Imm2, No. 44
Formation energy = -0.2101 eV per atom

---

DFT (PBE) results for CdTcC2 after structural relaxation.

Lattice parameters (Å, degrees): 4.9964 4.9964 5.9154 65.02 65.02 90.00
Last column: nearest neighbours and their distance in Å.
Element x y z (fractional)
1 Tc 0.2500 0.7500 0.5000  4 C 1.94
2 Tc 0.5000 0.5000 0.0000  4 C 1.94
3 C 0.3750 0.4463 0.7500  2 Tc 1.94
4 C 0.1963 0.6250 0.2500  2 Tc 1.94
5 C 0.8750 0.8037 0.7500  2 Tc 1.94
6 C 0.5537 0.1250 0.2500  2 Tc 1.94
7 Cd 0.0000 0.0000 0.0000  4 C 2.35
8 Cd 0.7500 0.2500 0.5000  4 C 2.35

Calculated values
Total magnetization = 0.000 μB/atom
E = -6.52 eV/atom
Space-group type = I-42d, No. 122
Formation energy = 0.9091 eV per atom

---

DFT (PBE) results for SrPu4Pd5 after structural relaxation.

Lattice parameters (Å, degrees): 3.5113 3.5113 18.3790 90.00 90.00 90.00
Last column: nearest neighbours and their distance in Å.
Element x y z (fractional)
1 Pu 0.0000 0.0000 0.5964  8 Pd 3.05-3.07
2 Pu 0.0000 0.0000 0.4036  8 Pd 3.05-3.07
3 Pu 0.0000 0.0000 0.7929  8 Pd 2.98-3.07
4 Pu 0.0000 0.0000 0.2071  8 Pd 2.98-3.07
5 Sr 0.0000 0.0000 0.0000  8 Pd 3.28, 4 Sr 3.51
6 Pd 0.5000 0.5000 0.1170  4 Pu 2.98, 4 Sr 3.28
7 Pd 0.5000 0.5000 0.8830  4 Pu 2.98, 4 Sr 3.28
8 Pd 0.5000 0.5000 0.5000  8 Pu 3.05
9 Pd 0.5000 0.5000 0.3052  8 Pu 3.07
10 Pd 0.5000 0.5000 0.6948  8 Pu 3.07

Calculated values
Total magnetization = 0.017 μB/atom
E = -8.91 eV/atom
Space-group type = P4/mmm, No. 123
Formation energy = -0.4109 eV per atom

---

DFT (PBE) results for Th2IrPd after structural relaxation.

Lattice parameters (Å, degrees): 3.5799 3.5799 7.3213 90.00 90.00 90.00
Last column: nearest neighbours and their distance in Å.
Element x y z (fractional)
1 Ir 0.5000 0.5000 0.0000  8 Th 3.07
2 Th 0.0000 0.0000 0.2384  4 Ir 3.07, 4 Pd 3.17
3 Th 0.0000 0.0000 0.7616  4 Ir 3.07, 4 Pd 3.17
4 Pd 0.5000 0.5000 0.5000  8 Th 3.17

Calculated values
Total magnetization = 0.000 μB/atom
E = -7.92 eV/atom
Space-group type = P4/mmm, No. 123
Formation energy = -0.7006 eV per atom

---

DFT (PBE) results for YMg2Te3 after structural relaxation.

Lattice parameters (Å, degrees): 4.3243 8.3103 12.2096 95.09 90.00 90.00
Last column: nearest neighbours and their distance in Å.
Element x y z (fractional)
1 Te 0.7500 0.6071 0.3561  3 Mg 2.80-2.85
2 Te 0.7500 0.8571 0.7338  2 Mg 2.76-2.79
3 Te 0.7500 0.6786 0.0398  2 Mg 3.01, 3 Y 3.18-3.23
4 Te 0.2500 0.3214 0.9602  2 Mg 3.01, 3 Y 3.18-3.23
5 Te 0.2500 0.3929 0.6439  3 Mg 2.80-2.85
6 Te 0.2500 0.1429 0.2662  2 Mg 2.76-2.79
7 Mg 0.2500 0.4161 0.4127  4 Te 2.76-2.85
8 Mg 0.7500 0.0696 0.9237  3 Te 2.79-3.01
9 Mg 0.7500 0.5839 0.5873  4 Te 2.76-2.85
10 Mg 0.2500 0.9304 0.0763  3 Te 2.79-3.01
11 Y 0.2500 0.6594 0.8483  6 Te 3.12-3.23, 1 Mg 3.42
12 Y 0.7500 0.3406 0.1517  6 Te 3.12-3.23, 1 Mg 3.42

Calculated values
Total magnetization = 0.000 μB/atom
E = -4.03 eV/atom
Space-group type = P2_1/m, No. 11
Formation energy from raw total energies = -0.852 eV per atom

---

DFT (PBE) results for Ba2BiIrN after structural relaxation.

Lattice parameters (Å, degrees): 6.2197 6.2197 3.7586 90.00 90.00 90.00
Last column: nearest neighbours and their distance in Å.
Element x y z (fractional)
1 Bi 0.5000 0.5000 0.5000  8 Ba 3.63, 2 Bi 3.76
2 Ba 0.0000 0.5000 0.0000  2 N 3.11
3 Ba 0.5000 0.0000 0.0000  2 N 3.11
4 N 0.0000 0.0000 0.0000  2 Ir 1.88
5 Ir 0.0000 0.0000 0.5000  2 N 1.88

Calculated values
Total magnetization = 0.000 μB/atom
E = -5.59 eV/atom
Space-group type = P4/mmm, No. 123
Formation energy from raw total energies = -0.607 eV per atom

---

DFT (PBE) results for SmHo4Sc2 after structural relaxation.

Lattice parameters (Å, degrees): 11.0879 7.8416 10.4890 41.71 58.14 44.99
Last column: nearest neighbours and their distance in Å.
Element x y z (fractional)
1 Ho 0.7215 0.7438 0.2560  4 Sc 3.27-3.57, 2 Sm 3.31-3.32, 4 Ho 3.40-3.58
2 Ho 0.7215 0.8131 0.7440  4 Sc 3.27-3.57, 2 Sm 3.31-3.32, 4 Ho 3.40-3.58
3 Ho 0.2784 0.7427 0.2573  4 Sc 3.26-3.57, 2 Sm 3.32, 4 Ho 3.40-3.58
4 Ho 0.2785 0.1869 0.2560  4 Sc 3.27-3.57, 2 Sm 3.31-3.32, 4 Ho 3.40-3.58
5 Ho 0.2784 0.7005 0.7427  4 Sc 3.26-3.57, 2 Sm 3.32, 4 Ho 3.40-3.58
6 Ho 0.7216 0.2995 0.2573  4 Sc 3.26-3.57, 2 Sm 3.32, 4 Ho 3.40-3.58
7 Ho 0.7216 0.2573 0.7427  4 Sc 3.26-3.57, 2 Sm 3.32, 4 Ho 3.40-3.58
8 Ho 0.2785 0.2562 0.7440  4 Sc 3.27-3.57, 2 Sm 3.31-3.32, 4 Ho 3.40-3.58
9 Sm 0.5000 0.5000 0.0000  8 Ho 3.32, 2 Sc 3.49
10 Sm 0.0000 0.5000 0.0000  8 Ho 3.31-3.32, 2 Sc 3.49
11 Sc 0.0000 0.0000 0.0000  2 Sc 3.49, 8 Ho 3.57
12 Sc 0.0000 0.5000 0.5000  2 Sc 3.49, 8 Ho 3.52-3.53
13 Sc 0.5000 0.0000 0.5000  8 Ho 3.27, 2 Sm 3.49
14 Sc 0.0000 0.0000 0.5000  8 Ho 3.26-3.27, 2 Sm 3.49

Calculated values
Total magnetization = 0.000 μB/atom
E = -4.88 eV/atom
Space-group type = P2/m, No. 10
Formation energy = 0.2182 eV per atom

---

The highest E belongs to which entry?
Cs2CdAs